Entry 1:
VASP calculation (SCAN) on a PBEsol-optimized structure of In.

a b c (Å): 6.217 5.733 3.296
angles (deg): 82.27 66.03 31.69
Positions (direct):
1 In 0.125 0.125 0.125
2 In 0.875 0.875 0.875

Summary:
For the formation enthalpy at 0 K, the calculation gives 0.059 eV per atom. As for the polymorph energy (0 for the lowest one): 5.7 kJ/mol of atoms. The calculation puts the total energy at -33.327 eV/atom. As for the total magnetic moment: 0.00 μB/f.u. The space group is Fddd (70).


Entry 2:
VASP calculation (SCAN) on a PBEsol-optimized structure of Si3OsRu.

a b c (Å): 4.520 4.520 4.520
angles (deg): 90.00 90.00 90.00
Positions (direct):
1 Si 0.000 0.000 0.500
2 Si 0.000 0.500 0.000
3 Si 0.500 0.000 0.000
4 Os 0.000 0.000 0.000
5 Ru 0.500 0.500 0.500

Summary:
For the uncorrected formation energy, the calculation gives 1.11 eV/atom. The calculation puts the total energy at -26.245 eV/atom. As for the total magnetic moment: 1.73 μB/f.u. The space group is Pm-3m (221).


Entry 3:
VASP calculation (SCAN) on a PBEsol-optimized structure of Ba2ScNi.

a b c (Å): 6.460 6.460 6.460
angles (deg): 138.48 138.48 60.16
Positions (direct):
1 Ba 0.000 0.000 0.000
2 Ba 0.750 0.250 0.500
3 Sc 0.250 0.750 0.500
4 Ni 0.500 0.500 0.000

Summary:
For the formation enthalpy at 0 K, the calculation gives 0.680 eV per atom. As for the polymorph energy (0 for the lowest one): 0.0 kJ/mol of atoms. The calculation puts the total energy at -26.698 eV/atom. As for the total magnetic moment: 0.00 μB/f.u. The space group is I-4m2 (119).


Entry 4:
VASP calculation (SCAN) on a PBEsol-optimized structure of RbFeCl3.

a b c (Å): 7.031 7.031 5.642
angles (deg): 90.00 90.00 120.00
Positions (direct):
1 Rb 0.333 0.667 0.250
2 Rb 0.667 0.333 0.750
3 Fe 0.000 0.000 0.000
4 Fe 0.000 0.000 0.500
5 Cl 0.163 0.326 0.750
6 Cl 0.163 0.837 0.750
7 Cl 0.326 0.163 0.250
8 Cl 0.674 0.837 0.750
9 Cl 0.837 0.163 0.250
10 Cl 0.837 0.674 0.250

Summary:
For the uncorrected formation energy, the calculation gives -1.53 eV/atom. The calculation puts the total energy at -14.089 eV/atom. As for the total magnetic moment: 4.00 μB/f.u. The space group is P6_3/mmc (194).


Entry 5:
VASP calculation (SCAN) on a PBEsol-optimized structure of Sc2FeCl.

a b c (Å): 8.134 8.134 8.134
angles (deg): 24.80 24.80 24.80
Positions (direct):
1 Sc 0.104 0.104 0.104
2 Sc 0.896 0.896 0.896
3 Fe 0.500 0.500 0.500
4 Cl 0.000 0.000 0.000

Summary:
As for the polymorph energy (0 for the lowest one): 0.0 kJ/mol of atoms. For the uncorrected formation energy, the calculation gives -0.53 eV/atom. The calculation puts the total energy at -14.173 eV/atom. As for the total magnetic moment: 0.91 μB/f.u. The space group is R-3m (166).


Entry 6:
VASP calculation (SCAN) on a PBEsol-optimized structure of SrCd2Cu2.

a b c (Å): 6.386 6.386 6.386
angles (deg): 140.36 140.36 57.30
Positions (direct):
1 Sr 0.000 0.000 0.000
2 Cd 0.250 0.750 0.500
3 Cd 0.750 0.250 0.500
4 Cu 0.394 0.394 0.000
5 Cu 0.606 0.606 0.000

Summary:
For the formation enthalpy at 0 K, the calculation gives -0.128 eV per atom. The calculation puts the total energy at -22.828 eV/atom. As for the total magnetic moment: 0.00 μB/f.u. The space group is I4/mmm (139).